<a>
Cs2TlAgHg: relaxed, PBE.

Calculated values
Density: 4.370 g/cm3
Space group: No. 123
Total magnetization: 0.000 Bohr magnetons per cell

Unit cell a=7.2096 b=7.2096 c=5.6921 alpha=90.00 beta=90.00 gamma=90.00
Closest atoms and distances in Å follow each position.
Positions (direct):
Cs1 0.0000 0.5000 0.0000  2 Hg 3.60
Cs2 0.5000 0.0000 0.0000  2 Hg 3.60
Tl1 0.0000 0.0000 0.5000  2 Hg 2.85
Ag1 0.5000 0.5000 0.5000  8 Cs 4.59, 4 Tl 5.10
Hg1 0.0000 0.0000 0.0000  2 Tl 2.85



<b>
Cs2TlAgHg: relaxed, PBE.

Calculated values
Density: 4.752 g/cm3
Space group: No. 123
Total magnetization: 0.001 Bohr magnetons per cell

Unit cell a=7.0890 b=7.0890 c=5.4145 alpha=90.00 beta=90.00 gamma=90.00
Closest atoms and distances in Å follow each position.
Positions (direct):
Cs1 0.0000 0.5000 0.0000  2 Ag 3.54
Cs2 0.5000 0.0000 0.0000  2 Ag 3.54
Tl1 0.0000 0.0000 0.5000  2 Ag 2.71
Ag1 0.0000 0.0000 0.0000  2 Tl 2.71
Hg1 0.5000 0.5000 0.5000  8 Cs 4.46



Energy relative to the most stable one, in meV/atom: <a> 112; <b> 0



<a>
CsTlAgHg2: relaxed, PBE.

Calculated values
Density: 7.801 g/cm3
Space group: No. 123
Total magnetization: 0.000 Bohr magnetons per cell

Unit cell a=5.6414 b=5.6414 c=5.6607 alpha=90.00 beta=90.00 gamma=90.00
Closest atoms and distances in Å follow each position.
Positions (direct):
Cs1 0.0000 0.0000 0.0000  4 Tl 3.99, 8 Hg 4.00
Tl1 0.5000 0.5000 0.0000  2 Ag 2.83
Ag1 0.5000 0.5000 0.5000  4 Hg 2.82, 2 Tl 2.83
Hg1 0.0000 0.5000 0.5000  2 Ag 2.82
Hg2 0.5000 0.0000 0.5000  2 Ag 2.82



<b>
CsTlAgHg2: relaxed, PBE.

Calculated values
Density: 7.191 g/cm3
Space group: No. 123
Total magnetization: 0.000 Bohr magnetons per cell

Unit cell a=5.9176 b=5.9176 c=5.5808 alpha=90.00 beta=90.00 gamma=90.00
Closest atoms and distances in Å follow each position.
Positions (direct):
Cs1 0.0000 0.0000 0.0000  8 Hg 4.07, 4 Ag 4.18
Tl1 0.5000 0.5000 0.5000  2 Ag 2.79, 4 Hg 2.96
Ag1 0.5000 0.5000 0.0000  2 Tl 2.79
Hg1 0.0000 0.5000 0.5000  2 Tl 2.96
Hg2 0.5000 0.0000 0.5000  2 Tl 2.96



Energy relative to the most stable one, in meV/atom: <a> 0; <b> 36